DFT (GGA-PBE) results for a geometry-optimized ZnAg2OsO6 structure.

a b c (Å): 5.469 5.653 5.535
angles (deg): 120.70 119.51 90.00
Positions (direct):
Ag  0.228  0.239  0.478
Ag  0.772  0.761  0.522
O  0.821  0.791  0.108
O  0.179  0.209  0.892
O  0.665  0.269  0.538
O  0.179  0.683  0.892
O  0.821  0.317  0.108
O  0.335  0.731  0.462
Os  0.000  0.500  0.000
Zn  0.500  0.000  0.000

Results
Raw formation energy, meV per atom: -631
N(E_F), states/eV per atom: 0.109